Here is an optimized crystal structure of PrMg7Ag5 from Alexandria. Energies are from PBE.

Computed properties:
**Electronic total energy**: -32.80 eV/cell
**Space-group type**: Imm2 (44)
**ΔE_f**: -19 kJ per mole of atoms

Cell: 7.5038 7.5038 7.5038 Å, 135.69 97.21 99.14°
Closest atoms and distances in Å follow each position.
Atoms (fractional coordinates):
Pr 0.0000 0.0000 0.0000  10 Mg 3.29-3.58, 2 Ag 3.50
Mg 0.2045 0.4990 0.7055  5 Ag 2.82-2.90, 3 Mg 3.00-3.16
Mg 0.2252 0.7252 0.5000  4 Ag 2.82, 4 Mg 3.00-3.08
Mg 0.3495 0.3495 0.0000  4 Ag 2.96, 5 Mg 3.04-3.26
Mg 0.3603 0.0143 0.3459  5 Ag 2.91-3.07, 4 Mg 3.06-3.20
Mg 0.6619 0.6619 0.0000  6 Ag 3.03-3.08, 3 Mg 3.04-3.32, 1 Pr 3.29
Mg 0.6684 0.0143 0.6541  5 Ag 2.91-3.07, 4 Mg 3.06-3.20
Mg 0.7934 0.4990 0.2945  5 Ag 2.82-2.90, 3 Mg 3.00-3.16
Ag 0.0093 0.0023 0.5037  3 Ag 2.81-2.93, 7 Mg 2.82-3.03
Ag 0.0093 0.5056 0.0070  3 Ag 2.81-2.93, 7 Mg 2.82-3.03
Ag 0.4986 0.0023 0.9930  3 Ag 2.81-2.93, 7 Mg 2.82-3.03
Ag 0.4986 0.5056 0.4963  3 Ag 2.81-2.93, 7 Mg 2.82-3.03
Ag 0.7875 0.2875 0.5000  6 Mg 2.90-3.08, 4 Ag 2.93

***

Here is an optimized crystal structure of Pr3MgAg from Alexandria. Energies are from PBE.

Computed properties:
**Electronic total energy**: -76.11 eV/cell
**Space-group type**: C2/c (15)
**ΔE_f**: -5 kJ per mole of atoms

Cell: 7.2640 7.2640 13.9570 Å, 90.20 90.20 56.19°
Closest atoms and distances in Å follow each position.
Atoms (fractional coordinates):
Pr 0.0080 0.6325 0.3980  2 Ag 3.24-3.44, 2 Mg 3.37-3.56, 5 Pr 3.48-3.60
Pr 0.0712 0.0864 0.3831  2 Ag 3.12-3.25, 1 Mg 3.41
Pr 0.0864 0.0712 0.8831  2 Ag 3.12-3.25, 1 Mg 3.41
Pr 0.1750 0.5242 0.8077  2 Ag 3.02-3.16
Pr 0.3675 0.9920 0.1020  2 Ag 3.24-3.44, 2 Mg 3.37-3.56, 5 Pr 3.48-3.60
Pr 0.4758 0.8250 0.6923  2 Ag 3.02-3.16
Pr 0.5242 0.1750 0.3077  2 Ag 3.02-3.16
Pr 0.6325 0.0080 0.8980  2 Ag 3.24-3.44, 2 Mg 3.37-3.56, 5 Pr 3.48-3.60
Pr 0.8250 0.4758 0.1923  2 Ag 3.02-3.16
Pr 0.9136 0.9288 0.1169  2 Ag 3.12-3.25, 1 Mg 3.41
Pr 0.9288 0.9136 0.6169  2 Ag 3.12-3.25, 1 Mg 3.41
Pr 0.9920 0.3675 0.6020  2 Ag 3.24-3.44, 2 Mg 3.37-3.56, 5 Pr 3.48-3.60
Mg 0.3993 0.4340 0.0748  2 Ag 2.86-2.87, 1 Mg 3.00
Mg 0.4340 0.3993 0.5748  2 Ag 2.86-2.87, 1 Mg 3.00
Mg 0.5660 0.6007 0.4252  2 Ag 2.86-2.87, 1 Mg 3.00
Mg 0.6007 0.5660 0.9252  2 Ag 2.86-2.87, 1 Mg 3.00
Ag 0.0000 0.5000 0.0000  2 Mg 2.86, 2 Pr 3.02
Ag 0.3279 0.6721 0.2500  2 Mg 2.87, 4 Pr 3.12-3.16
Ag 0.5000 0.0000 0.5000  2 Mg 2.86, 2 Pr 3.02
Ag 0.6721 0.3279 0.7500  2 Mg 2.87, 4 Pr 3.12-3.16

***

Q: Which formula does entry 2 have?
A: Pr3MgAg